[1]
LiInPb | GGA-PBE | relaxed

Results
- Energy: -17.58 eV for the cell shown
- Total magnetization: 0.00 μB/cell
- Volume: 150.3 Å³ per cell

Cell lengths 3.578, 8.647, 4.858 Å; angles 90.00, 90.00, 90.00 degrees
Sites, in units of the cell vectors:
Li 0.500 0.754 0.500
Pb 0.500 0.108 0.500
In 0.500 0.554 0.000
In 0.000 0.446 0.500
Pb 0.000 0.892 0.000
Li 0.000 0.246 0.000


[2]
Cu2HO | GGA-PBE | relaxed

Results
- Energy: -34.03 eV for the cell shown
- Total magnetization: 0.00 μB/cell
- Excess energy over the best structure of this formula in the dataset: 0.00 eV per formula unit
- Volume: 77.2 Å³ per cell

Cell lengths 4.249, 4.249, 5.228 Å; angles 66.02, 66.02, 90.00 degrees
Sites, in units of the cell vectors:
Cu 0.169 0.625 0.250
Cu 0.581 0.125 0.250
O 0.000 0.000 0.000
Cu 0.375 0.419 0.750
O 0.750 0.250 0.500
Cu 0.875 0.831 0.750
H 0.250 0.750 0.500
H 0.500 0.500 0.000


[3]
Li2Dy3Hg3 | GGA-PBE | relaxed

Results
- Energy: -21.19 eV for the cell shown
- Total magnetization: 0.00 μB/cell
- Volume: 193.0 Å³ per cell

Cell lengths 3.696, 5.150, 10.621 Å; angles 104.03, 100.02, 90.00 degrees
Sites, in units of the cell vectors:
Dy 0.627 0.627 0.253
Hg 0.000 0.500 0.000
Li 0.741 0.241 0.482
Hg 0.140 0.140 0.281
Dy 0.373 0.373 0.747
Dy 0.500 0.000 0.000
Li 0.259 0.759 0.518
Hg 0.860 0.860 0.719


[4]
MgGaAgPb | GGA-PBE | relaxed

Results
- Energy: -11.01 eV for the cell shown
- Total magnetization: 0.00 μB/cell
- Volume: 89.5 Å³ per cell

Cell lengths 5.020, 5.020, 5.020 Å; angles 60.00, 60.00, 60.00 degrees
Sites, in units of the cell vectors:
Pb 0.500 0.500 0.500
Mg 0.750 0.750 0.750
Ag 0.250 0.250 0.250
Ga 0.000 0.000 0.000